(1)
{"formula": "MgIn2Hg", "functional": "PBEsol", "state": "relaxed", "cell": [[-0.4318, 1.2263, -3.0201], [-1.5038, -2.7778, -0.9133], [-7.5160, 3.2779, 2.4056]], "species": ["In", "Mg", "Hg", "In"], "frac_coords": [[0.0000, 0.0000, 0.0117], [0.0000, 0.0000, 0.4832], [0.5000, 0.5000, 0.2709], [0.5000, 0.5000, 0.7341]], "e_tot_ha_per_atom": -0.07953, "space_group": "P4mm, No. 99"}

=====

(2)
{"formula": "Mg2InHg", "functional": "PBEsol", "state": "relaxed", "cell": [[-3.0948, -0.8235, -1.0934], [0.6631, -4.1151, 1.2224], [-2.2425, 1.2454, 5.4094]], "species": ["Mg", "Mg", "In", "Hg"], "frac_coords": [[0.5000, 0.5000, 0.2713], [0.0000, 0.0000, 0.9884], [0.5000, 0.5000, 0.7656], [0.0000, 0.0000, 0.4747]], "e_tot_ha_per_atom": -0.06955, "space_group": "Pmm2, No. 25"}